Entry 1:
# Tb6Ho2Tm3Pb | the Alexandria database | GGA-PBE | relaxed
data_Tb6Ho2Tm3Pb
_chemical_formula_sum 'Tb12 Ho4 Tm6 Pb2'
_cell_length_a 6.0763
_cell_length_b 10.5278
_cell_length_c 11.6435
_cell_angle_alpha 90.00
_cell_angle_beta 100.03
_cell_angle_gamma 90.00
_space_group_name_H-M_alt 'C 1 2/m 1'
_space_group_IT_number 12
loop_
_space_group_symop_operation_xyz
'x,y,z'
'-x,-y,-z'
'-x,y,-z'
'x,-y,z'
'x+1/2,y+1/2,z'
'-x+1/2,-y+1/2,-z'
'-x+1/2,y+1/2,-z'
'x+1/2,-y+1/2,z'
loop_
_atom_site_label
_atom_site_type_symbol
_atom_site_fract_x
_atom_site_fract_y
_atom_site_fract_z
_atom_site_occupancy
Tb1 Tb 0.2460 0.0000 0.2484 1
Tb2 Tb 0.2483 0.1647 0.7501 1
Ho1 Ho 0.0000 0.3340 0.5000 1
Tm1 Tm 0.0000 0.1676 0.0000 1
Tm2 Tm 0.0000 0.5000 0.0000 1
Pb1 Pb 0.0000 0.0000 0.5000 1
# Final energy, eV/f.u.: -54.64
# Formation enthalpy at 0 K, eV per atom: -0.05



Entry 2:
# TbHoZnPb | the Alexandria database | GGA-PBE | relaxed
data_TbHoZnPb
_chemical_formula_sum 'Tb4 Ho4 Zn4 Pb4'
_cell_length_a 7.4097
_cell_length_b 7.4097
_cell_length_c 7.4097
_cell_angle_alpha 90.00
_cell_angle_beta 90.00
_cell_angle_gamma 90.00
_space_group_name_H-M_alt 'F -4 3 m'
_space_group_IT_number 216
_space_group_name_Hall 'F -4 2 3'
loop_
_atom_site_label
_atom_site_type_symbol
_atom_site_fract_x
_atom_site_fract_y
_atom_site_fract_z
_atom_site_occupancy
Tb1 Tb 0.0000 0.0000 0.0000 1
Ho1 Ho 0.0000 0.0000 0.5000 1
Zn1 Zn 0.2500 0.2500 0.7500 1
Pb1 Pb 0.2500 0.2500 0.2500 1
# Final energy, eV/f.u.: -15.65
# Formation enthalpy at 0 K, eV per atom: -0.36